This record from Alexandria via LeMat-Bulk describes crystalline Li6Fe3Co7O20 at its relaxed geometry. The functional is PBE+U.

abc: 5.831 2.864 20.984
angles: 90.00 94.63 90.00
Atoms (fractional coordinates):
Li  0.000  0.000  0.000
Li  0.001  0.500  0.501
Li  0.340  0.000  0.820
Li  0.417  0.500  0.308
Li  0.582  0.500  0.694
Li  0.659  0.000  0.182
Fe  0.065  0.500  0.699
Fe  0.501  0.500  0.501
Fe  0.933  0.500  0.303
Co  0.120  0.000  0.199
Co  0.291  0.000  0.599
Co  0.305  0.500  0.100
Co  0.499  0.000  0.001
Co  0.693  0.500  0.902
Co  0.710  0.000  0.403
Co  0.878  0.000  0.803
O  0.077  0.500  0.601
O  0.096  0.000  0.106
O  0.101  0.500  0.796
O  0.165  0.000  0.291
O  0.277  0.000  0.509
O  0.279  0.500  0.009
O  0.312  0.000  0.690
O  0.340  0.500  0.189
O  0.482  0.000  0.910
O  0.498  0.500  0.408
O  0.502  0.500  0.595
O  0.516  0.000  0.092
O  0.658  0.500  0.812
O  0.686  0.000  0.312
O  0.719  0.500  0.992
O  0.724  0.000  0.493
O  0.833  0.000  0.711
O  0.897  0.500  0.206
O  0.901  0.000  0.895
O  0.923  0.500  0.401

Calculated values
- symmetry = Pm, No. 6
- density of states at the Fermi level (states/eV per cell) = 0.01
- energy (Ry/atom) = -0.4267